1.
# ReSbMo2

A geometry-optimized ReSbMo2 structure (PBE, the Alexandria database).

a b c (Å): 7.3933 7.3933 5.9115
angles (deg): 51.29 51.29 90.00
Closest atoms and distances in Å follow each position.
Fractional coordinates of all 8 atoms:
Re  0.0000  0.0000  0.0000  4 Mo 2.52, 2 Sb 2.76
Re  0.7500  0.2500  0.5000  4 Mo 2.52, 2 Sb 2.76
Mo  0.6631  0.1250  0.2500  2 Re 2.52, 2 Mo 2.82
Mo  0.0869  0.6250  0.2500  2 Re 2.52, 2 Mo 2.82
Mo  0.3750  0.3369  0.7500  2 Re 2.52, 2 Mo 2.82
Mo  0.8750  0.9131  0.7500  2 Re 2.52, 2 Mo 2.82
Sb  0.5000  0.5000  0.0000  2 Re 2.76, 4 Mo 2.90
Sb  0.2500  0.7500  0.5000  2 Re 2.76, 4 Mo 2.90

Output
As for the density of states at the Fermi level: 10.0 states/eV/cell. The total magnetization comes out at 0.00 μB per cell. The uncorrected formation energy comes out at 828.5 meV/atom. For the theoretical density, the calculation gives 11.0 Mg/m³.

---

2.
# SrAcInGe

A geometry-optimized SrAcInGe structure (PBE, the Alexandria database).

a b c (Å): 4.8757 4.4442 6.5488
angles (deg): 90.00 111.85 90.00
Closest atoms and distances in Å follow each position.
Fractional coordinates of all 4 atoms:
Sr  0.1419  0.0000  0.2839  3 Ge 3.40-3.62, 4 In 3.40
Ac  0.8634  0.5000  0.7269  4 Ge 3.37, 3 In 3.52-3.53
In  0.5727  0.5000  0.1455  2 Ge 2.88
Ge  0.4219  0.0000  0.8438  2 In 2.88

Output
As for the density of states at the Fermi level: 2.3 states/eV/cell. The polymorph energy (0 for the lowest one) comes out at 0.0 meV per atom. The total magnetization comes out at 0.00 μB per cell. The calculation puts the energy of formation at -0.557 eV/atom. For the theoretical density, the calculation gives 6.3 Mg/m³.